The following is a DFT calculation (PBE) of a geometry-optimized HfCoSnMo structure.

a b c (Å): 4.561 4.561 4.561
angles (deg): 60.00 60.00 60.00
Positions (direct):
Hf 0.000 0.000 0.000
Co 0.750 0.750 0.750
Sn 0.500 0.500 0.500
Mo 0.250 0.250 0.250

Results
E_tot = -7.99 eV/atom
Offset from the most stable computed form = 0.0 meV per atom

***

The following is a DFT calculation (PBE) of a geometry-optimized LaCoSbAu structure.

a b c (Å): 4.973 4.973 4.973
angles (deg): 60.00 60.00 60.00
Positions (direct):
La 0.000 0.000 0.000
Co 0.250 0.250 0.250
Sb 0.500 0.500 0.500
Au 0.750 0.750 0.750

Results
E_tot = -5.10 eV/atom
Offset from the most stable computed form = 0.0 meV per atom

***

The following is a DFT calculation (PBE) of a geometry-optimized Tb3HoB2Pb2 structure.

a b c (Å): 3.705 3.705 16.802
angles (deg): 90.00 90.00 120.00
Positions (direct):
Tb 0.000 0.000 0.000
Tb 0.000 0.000 0.321
Tb 0.333 0.667 0.502
Ho 0.333 0.667 0.822
B 0.667 0.333 0.412
B 0.667 0.333 0.910
Pb 0.000 0.000 0.663
Pb 0.333 0.667 0.161

Results
E_tot = -5.09 eV/atom

***

The following is a DFT calculation (PBE) of a geometry-optimized LaSmGe2Ir structure.

a b c (Å): 5.929 5.929 11.209
angles (deg): 115.54 115.54 42.52
Positions (direct):
La 0.206 0.206 0.149
La 0.794 0.794 0.851
Sm 0.407 0.407 0.608
Sm 0.593 0.593 0.392
Ge 0.117 0.117 0.611
Ge 0.455 0.455 0.085
Ge 0.545 0.545 0.915
Ge 0.883 0.883 0.389
Ir 0.056 0.056 0.805
Ir 0.944 0.944 0.195

Results
E_tot = -6.41 eV/atom
Offset from the most stable computed form = 0.0 meV per atom

***

The following is a DFT calculation (PBE) of a geometry-optimized CsPaO3 structure.

a b c (Å): 6.308 8.919 6.309
angles (deg): 90.00 90.00 90.00
Positions (direct):
Cs 0.000 0.250 0.000
Cs 0.000 0.750 0.000
Cs 0.500 0.250 0.500
Cs 0.500 0.750 0.500
Pa 0.000 0.000 0.500
Pa 0.000 0.500 0.500
Pa 0.500 0.000 0.000
Pa 0.500 0.500 0.000
O 0.001 0.250 0.499
O 0.249 0.000 0.751
O 0.249 0.500 0.751
O 0.251 0.000 0.251
O 0.251 0.500 0.251
O 0.499 0.750 0.999
O 0.501 0.250 0.001
O 0.749 0.000 0.749
O 0.749 0.500 0.749
O 0.751 0.000 0.249
O 0.751 0.500 0.249
O 0.999 0.750 0.501

Results
E_tot = -7.66 eV/atom

***

The following is a DFT calculation (PBE) of a geometry-optimized BaFeHgS3 structure.

a b c (Å): 6.956 6.956 10.616
angles (deg): 90.00 90.00 145.58
Positions (direct):
Ba 0.237 0.763 0.750
Ba 0.763 0.237 0.250
Fe 0.043 0.957 0.250
Fe 0.957 0.043 0.750
Hg 0.500 0.500 0.000
Hg 0.500 0.500 0.500
S 0.137 0.863 0.071
S 0.137 0.863 0.429
S 0.447 0.553 0.250
S 0.553 0.447 0.750
S 0.863 0.137 0.571
S 0.863 0.137 0.929

Results
E_tot = -4.53 eV/atom
Offset from the most stable computed form = 0.0 meV per atom

***

The following is a DFT calculation (PBE) of a geometry-optimized CuS2Cl structure.

a b c (Å): 7.438 4.749 11.793
angles (deg): 90.00 114.90 90.00
Positions (direct):
Cu 0.184 0.144 0.249
Cu 0.184 0.356 0.749
Cu 0.816 0.644 0.251
Cu 0.816 0.856 0.751
S 0.322 0.039 0.667
S 0.322 0.461 0.167
S 0.429 0.674 0.831
S 0.429 0.826 0.331
S 0.571 0.174 0.669
S 0.571 0.326 0.169
S 0.678 0.539 0.833
S 0.678 0.961 0.333
Cl 0.090 0.103 0.880
Cl 0.090 0.397 0.380
Cl 0.910 0.603 0.620
Cl 0.910 0.897 0.120

Results
E_tot = -3.74 eV/atom

***

The following is a DFT calculation (PBE) of a geometry-optimized ErHIBr structure.

a b c (Å): 3.883 3.883 15.505
angles (deg): 90.00 90.00 120.00
Positions (direct):
Er 0.000 0.000 0.000
Er 0.000 0.000 0.500
H 0.333 0.667 0.000
H 0.667 0.333 0.500
I 0.333 0.667 0.363
I 0.333 0.667 0.637
Br 0.667 0.333 0.121
Br 0.667 0.333 0.879

Results
E_tot = -4.11 eV/atom